Entry 1:
Computed, not measured: crystalline KCr2Pb at its relaxed geometry at the PBE level of DFT.

formation energy = 0.94 eV/atom

```
KCr2Pb
1.0
4.845 0.000 0.000
0.000 4.845 0.000
0.000 0.000 8.785
K Cr Pb
2 4 2
Direct
0.000 0.000 0.000
0.500 0.500 0.500
0.000 0.000 0.500
0.000 0.500 0.250
0.500 0.000 0.750
0.500 0.500 0.000
0.000 0.500 0.750
0.500 0.000 0.250
```


Entry 2:
Computed, not measured: crystalline LaIn2Ni2 at its relaxed geometry at the PBE level of DFT.

formation energy = -0.24 eV/atom

```
LaIn2Ni2
1.0
4.759 0.000 0.000
-2.380 4.122 0.000
0.000 0.000 15.517
La In Ni
3 6 6
Direct
0.000 0.000 0.000
0.333 0.667 0.667
0.667 0.333 0.333
0.000 0.000 0.223
0.000 0.000 0.777
0.333 0.667 0.444
0.333 0.667 0.890
0.667 0.333 0.110
0.667 0.333 0.556
0.000 0.000 0.426
0.000 0.000 0.574
0.333 0.667 0.092
0.333 0.667 0.241
0.667 0.333 0.759
0.667 0.333 0.908
```


Entry 3:
Computed, not measured: crystalline LiCdTe at its relaxed geometry at the PBE level of DFT.

formation energy (no corrections) = -0.749 eV per formula unit
excess energy over the best structure of this formula in the dataset = 172 meV per atom

```
LiCdTe
1.0
3.322 0.000 0.000
0.000 3.322 0.000
0.000 0.000 13.395
Li Cd Te
2 2 2
Direct
0.000 0.000 0.000
0.500 0.500 0.500
0.000 0.000 0.340
0.500 0.500 0.840
0.000 0.000 0.634
0.500 0.500 0.134
```


Entry 4:
Computed, not measured: crystalline Y2MgCdSi at its relaxed geometry at the PBE level of DFT.

formation energy (no corrections) = 3.298 eV per formula unit

```
Y2MgCdSi
1.0
5.499 0.000 0.000
0.000 5.499 0.000
0.000 0.000 4.871
Y Mg Cd Si
2 1 1 1
Direct
0.000 0.500 0.000
0.500 0.000 0.000
0.000 0.000 0.000
0.000 0.000 0.500
0.500 0.500 0.500
```


Entry 5:
Computed, not measured: crystalline NaLaEr2 at its relaxed geometry at the PBE level of DFT.

formation energy = 0.20 eV/atom

```
NaLaEr2
1.0
3.528 0.000 0.000
-1.764 3.055 0.000
0.000 0.000 38.160
Na La Er
3 3 6
Direct
0.000 0.000 0.000
0.333 0.667 0.667
0.667 0.333 0.333
0.000 0.000 0.500
0.333 0.667 0.167
0.667 0.333 0.833
0.000 0.000 0.091
0.000 0.000 0.909
0.333 0.667 0.575
0.333 0.667 0.758
0.667 0.333 0.242
0.667 0.333 0.425
```


Entry 6:
Computed, not measured: crystalline LiMgBe2H6 at its relaxed geometry at the PBE level of DFT.

electronic total energy = -0.11555 hartree per atom

```
LiMgBe2H6
1.0
2.145 1.238 5.411
-2.145 1.238 5.411
0.000 -2.477 5.411
Li Mg Be H
1 1 2 6
Direct
0.000 0.000 0.000
0.500 0.500 0.500
0.256 0.256 0.256
0.744 0.744 0.744
0.076 0.427 0.743
0.257 0.924 0.573
0.427 0.743 0.076
0.573 0.257 0.924
0.743 0.076 0.427
0.924 0.573 0.257
```


Number 1: calculated volume 25.8 Å³ per atom. Number 2: calculated volume 20.3 Å³ per atom. Number 3: calculated volume 24.6 Å³ per atom. Number 4: calculated volume 29.5 Å³ per atom. Number 5: calculated volume 34.3 Å³ per atom. Number 6: calculated volume 8.6 Å³ per atom.